Record 1
3
Lattice="-2.610 -1.294 -0.238 1.269 -2.813 1.384 -0.528 3.668 3.807" Properties=species:S:1:pos:R:3 comment="ScCuMo | Alexandria | PBEsol | relaxed" sg="No. 44" total_energy_ev_per_fu=-22.04 e_form_ev_per_atom=0.224 pbc="T T T"
Mo -0.840 1.131 3.069
Cu -1.841 -0.478 4.848
Sc -1.059 -1.531 1.990

***

Record 2
4
Lattice="-2.155 -0.317 -2.309 -3.596 -1.047 3.500 0.032 5.074 -0.727" Properties=species:S:1:pos:R:3 comment="CrCdIn2 | Alexandria | PBEsol | relaxed" sg="No. 65" total_energy_ev_per_fu=-16.17 e_form_ev_per_atom=0.309 pbc="T T T"
Cd -1.077 -0.158 -1.154
In 0.016 2.537 -0.363
In -1.798 -0.523 1.750
Cr -2.859 1.855 0.232